Entry from the Alexandria database: a relaxed SnSeI2 crystal (PBE-GGA).

For the formation energy without anion corrections, the calculation gives 235.0 meV/atom. The total magnetization comes out at 0.50 μB/atom. The crystal system is cubic.

The structure belongs to space group Fm-3m (No. 225); the cell edges are 7.934, 7.934 and 7.934 Å and the angles 90.00°, 90.00° and 90.00°. Symmetry generates all atoms from Sn at (0.000, 0.000, 0.000), Se at (0.000, 0.000, 0.500) and I at (0.250, 0.250, 0.250).


Entry from the Alexandria database: a relaxed Tm2TiB2Ru5 crystal (PBE-GGA).

The total magnetization comes out at 0.00 μB/atom. The crystal system is tetragonal. The formation energy is -0.56 eV per atom.

The structure belongs to space group P4/mbm (No. 127); the cell edges are 9.562, 9.562 and 3.104 Å and the angles 90.00°, 90.00° and 90.00°. Symmetry generates all atoms from Tm at (0.175, 0.325, 0.000), Ti at (0.000, 0.000, 0.000), B at (0.123, 0.623, 0.000), Ru at (0.000, 0.500, 0.500) and Ru at (0.070, 0.784, 0.500).


Entry from the Alexandria database: a relaxed K2NaGePt crystal (PBE-GGA).

The total magnetization comes out at 0.00 μB/atom. The crystal system is tetragonal. The formation energy is -0.11 eV per atom.

The structure belongs to space group P4/mmm (No. 123); the cell edges are 6.332, 6.332 and 4.733 Å and the angles 90.00°, 90.00° and 90.00°. Symmetry generates all atoms from K at (0.000, 0.500, 0.000), Na at (0.000, 0.000, 0.500), Ge at (0.500, 0.500, 0.500) and Pt at (0.500, 0.500, 0.000).


Entry from the Alexandria database: a relaxed SiAg2PbF8 crystal (PBE-GGA).

For the formation energy without anion corrections, the calculation gives -2215.9 meV/atom. The total magnetization comes out at 0.00 μB/atom. The crystal system is triclinic.

The structure belongs to space group P-1 (No. 2); the cell edges are 4.506, 5.656 and 7.241 Å and the angles 90.03°, 90.06° and 96.68°. Symmetry generates all atoms from Si at (0.000, 0.000, 0.000), Ag at (0.500, 0.500, 0.237), Pb at (0.000, 0.000, 0.500), F at (0.133, 0.828, 0.172), F at (0.133, 0.828, 0.828), F at (0.322, 0.190, 0.000) and F at (0.491, 0.243, 0.500).


Entry from the Alexandria database: a relaxed Y2TeAs crystal (PBE-GGA).

For the formation energy without anion corrections, the calculation gives -1103.9 meV/atom. The total magnetization comes out at 0.00 μB/atom. The crystal system is orthorhombic.

The structure belongs to space group Immm (No. 71); the cell edges are 4.687, 5.762 and 7.643 Å and the angles 90.00°, 90.00° and 90.00°. Symmetry generates all atoms from Y at (0.000, 0.000, 0.237), Te at (0.000, 0.500, 0.000) and As at (0.000, 0.500, 0.500).


Entry from the Alexandria database: a relaxed Hf6GaGe2 crystal (PBE-GGA).

The total magnetization comes out at 0.00 μB/atom. The crystal system is monoclinic. The formation energy is -0.36 eV per atom.

The structure belongs to space group P2_1/c (No. 14); the cell edges are 5.561, 7.386 and 10.420 Å and the angles 90.00°, 121.26° and 90.00°. Symmetry generates all atoms from Hf at (0.083, 0.040, 0.219), Hf at (0.162, 0.697, 0.052), Hf at (0.416, 0.162, 0.048), Ga at (0.500, 0.000, 0.500) and Ge at (0.346, 0.112, 0.741).


Entry from the Alexandria database: a relaxed K3CaSi crystal (PBE-GGA).

For the formation energy without anion corrections, the calculation gives 1017.2 meV/atom. The total magnetization comes out at 0.21 μB/atom. The crystal system is cubic.

The structure belongs to space group Pm-3m (No. 221); the cell edges are 7.364, 7.364 and 7.364 Å and the angles 90.00°, 90.00° and 90.00°. Symmetry generates all atoms from K at (0.000, 0.000, 0.500), Ca at (0.000, 0.000, 0.000) and Si at (0.500, 0.500, 0.500).


Entry from the Alexandria database: a relaxed BOF crystal (PBE-GGA).

For the formation energy without anion corrections, the calculation gives -2264.6 meV/atom. The total magnetization comes out at 0.00 μB/atom. The crystal system is orthorhombic.

The structure belongs to space group Pmm2 (No. 25); the cell edges are 2.449, 2.625 and 4.449 Å and the angles 90.00°, 90.00° and 90.00°. Symmetry generates all atoms from B at (0.000, 0.000, 0.000), O at (0.500, 0.000, 0.142) and F at (0.000, 0.500, 0.780).